# MgIn3Pb7 | Alexandria via LeMat-Bulk | PBE | relaxed
data_MgIn3Pb7
_chemical_formula_sum 'Mg2 In6 Pb14'
_space_group_name_H-M_alt 'C 1 m 1'
_space_group_IT_number 8
_cell_length_a 13.3844
_cell_length_b 6.6045
_cell_length_c 9.2840
_cell_angle_alpha 90.00
_cell_angle_beta 123.85
_cell_angle_gamma 90.00
loop_
_space_group_symop_operation_xyz
'x,y,z'
'x,-y,z'
'x+1/2,y+1/2,z'
'x+1/2,-y+1/2,z'
loop_
_atom_site_label
_atom_site_fract_x
_atom_site_fract_y
_atom_site_fract_z
Mg1 0.0000 0.0000 0.0000
In1 0.0044 0.2468 0.3087
In2 0.4830 0.0000 0.9961
Pb1 0.1442 0.0000 0.8272
Pb2 0.2436 0.2457 0.2687
Pb3 0.2575 0.5000 0.9750
Pb4 0.2790 0.2529 0.6590
Pb5 0.4921 0.0000 0.6076
# - Formation enthalpy at 0 K: 0.07 eV per atom
# - Calculated density: 8.9 Mg/m³

***

# MgInPb | Alexandria via LeMat-Bulk | PBE | relaxed
data_MgInPb
_chemical_formula_sum 'Mg2 In2 Pb2'
_space_group_name_H-M_alt 'I m m 2'
_space_group_IT_number 44
_cell_length_a 3.5030
_cell_length_b 4.5116
_cell_length_c 10.1565
_cell_angle_alpha 90.00
_cell_angle_beta 90.00
_cell_angle_gamma 90.00
loop_
_space_group_symop_operation_xyz
'x,y,z'
'-x,-y,z'
'-x,y,z'
'x,-y,z'
'x+1/2,y+1/2,z+1/2'
'-x+1/2,-y+1/2,z+1/2'
'-x+1/2,y+1/2,z+1/2'
'x+1/2,-y+1/2,z+1/2'
loop_
_atom_site_label
_atom_site_fract_x
_atom_site_fract_y
_atom_site_fract_z
Mg1 0.0000 0.0000 0.0000
In1 0.0000 0.0000 0.3435
Pb1 0.0000 0.0000 0.6683
# - Formation enthalpy at 0 K: -0.03 eV per atom
# - Calculated density: 7.2 Mg/m³

***

# Mg3In3Pb2 | Alexandria via LeMat-Bulk | PBE | relaxed
data_Mg3In3Pb2
_chemical_formula_sum 'Mg3 In3 Pb2'
_space_group_name_H-M_alt 'P m m m'
_space_group_IT_number 47
_cell_length_a 4.7963
_cell_length_b 4.8195
_cell_length_c 8.9535
_cell_angle_alpha 90.00
_cell_angle_beta 90.00
_cell_angle_gamma 90.00
loop_
_space_group_symop_operation_xyz
'x,y,z'
'-x,-y,-z'
'-x,-y,z'
'x,y,-z'
'x,-y,-z'
'-x,y,z'
'-x,y,-z'
'x,-y,z'
loop_
_atom_site_label
_atom_site_fract_x
_atom_site_fract_y
_atom_site_fract_z
Mg1 0.0000 0.0000 0.0000
Mg2 0.0000 0.0000 0.5000
Mg3 0.5000 0.5000 0.0000
In1 0.0000 0.5000 0.2421
In2 0.5000 0.5000 0.5000
Pb1 0.5000 0.0000 0.2373
# - Energy relative to the lowest polymorph listed for this composition: 0 meV/atom
# - Formation enthalpy at 0 K: -0.03 eV per atom
# - Calculated density: 6.7 Mg/m³

***

- formation enthalpy at 0 K of number 1 (MgIn3Pb7)?
  0.07 eV per atom